# ZrV2HgF (PBE+U, relaxed)
# N(E_F) in states/eV/cell: 4.0
# V in Å³/atom: 29.433
# Raw total energy in eV per atom: -3.7381
# Magnetic moment in μB per formula unit: 5.4
data_ZrV2HgF
_chemical_formula_sum 'Zr1 V2 Hg1 F1'
_cell_length_a 5.188
_cell_length_b 5.188
_cell_length_c 5.467
_cell_angle_alpha 90.00
_cell_angle_beta 90.00
_cell_angle_gamma 90.00
_symmetry_space_group_name_H-M 'P 4/m m m'
_symmetry_Int_Tables_number 123
_symmetry_space_group_name_Hall '-P 4 2'
loop_
_atom_site_label
_atom_site_type_symbol
_atom_site_fract_x
_atom_site_fract_y
_atom_site_fract_z
Zr1 Zr 0.000 0.000 0.000
V1 V 0.000 0.500 0.000
Hg1 Hg 0.000 0.000 0.500
F1 F 0.500 0.500 0.500